VASP calculation (GGA+U) on an optimized crystal structure of MgMn2PbO6.

a b c (Å): 5.3190 5.3190 14.2297
angles (deg): 90.00 90.00 120.00
Space group R3 (No. 146, hexagonal axes)
Unique sites:
Mg1 0.0000 0.0000 0.0000 [3 per cell]
Mn1 0.0000 0.0000 0.2112 [3 per cell]
Mn2 0.0000 0.0000 0.6978 [3 per cell]
Pb1 0.0000 0.0000 0.4905 [3 per cell]
O1 0.0456 0.6770 0.2778 [9 per cell]
O2 0.0532 0.3444 0.7701 [9 per cell]

## Properties
Its density of states at the Fermi level is 0.0613 states/eV per atom. Its crystal system is trigonal. The value obtained for the total energy is -196.706 eV/cell. The calculation puts the volume at 348.6 Å³/cell.